VASP calculation (GGA-PBEsol) on a relaxed Li5Cu4P6 crystal.

Calculated values
Crystal system ... orthorhombic
N(E_F) ... 0.24 states/eV per atom
Total energy ... -4.5971 eV per atom

a = 3.8169 Å, b = 7.8246 Å, c = 7.8246 Å
α = 67.12°, β = 75.88°, γ = 75.88°
Element x y z (fractional)
Li: 0.0000 0.0000 0.0000
Cu: 0.1743 0.5582 0.0933
P: 0.3520 0.0231 0.2730
Li: 0.5000 0.3285 0.6715
Cu: 0.1743 0.0933 0.5582
P: 0.6480 0.7270 0.9769
Cu: 0.8257 0.9067 0.4418
P: 0.0867 0.4133 0.4133
P: 0.6480 0.9769 0.7270
Li: 0.7227 0.2773 0.2773
P: 0.3520 0.2730 0.0231
Li: 0.2773 0.7227 0.7227
P: 0.9133 0.5867 0.5867
Li: 0.5000 0.6715 0.3285
Cu: 0.8257 0.4418 0.9067